Compound: Ca2CrBr
Source: Alexandria
Functional: PBE
Structure: optimized geometry

Raw formation energy = -0.26 eV/atom
Density = 3.1 Mg/m³
E_tot = -16.33 eV per formula unit
Space group = No. 123

a = 3.6870 Å, b = 3.6870 Å, c = 8.2441 Å
α = 90.00°, β = 90.00°, γ = 89.99°
With the nearest neighbours (Å) after each atom.
Atoms (fractional coordinates):
Ca  0.0000  0.0000  0.0186  4 Cr 3.23, 4 Br 3.42
Br  0.5000  0.5000  0.7500  8 Ca 3.42, 4 Br 3.69
Ca  0.0000  0.0000  0.4814  4 Cr 3.23, 4 Br 3.42
Cr  0.5000  0.5000  0.2500  8 Ca 3.23

Compound: CaCr2Br
Source: Alexandria
Functional: PBE
Structure: optimized geometry

Raw formation energy = 0.45 eV/atom
Density = 4.0 Mg/m³
E_tot = -21.13 eV per formula unit
Space group = No. 10

a = 5.7992 Å, b = 3.3660 Å, c = 4.7202 Å
α = 90.84°, β = 90.00°, γ = 90.00°
With the nearest neighbours (Å) after each atom.
Atoms (fractional coordinates):
Ca  0.5000  0.7500  0.7500  4 Br 2.88-2.92, 4 Cr 3.18
Cr  0.0000  0.4186  0.6011  1 Cr 1.82
Br  0.5000  0.2500  0.2500  4 Ca 2.88-2.92
Cr  0.0000  0.0814  0.8989  1 Cr 1.82

| no. | DOS at the Fermi energy (states/eV/cell) |
| --- | --- |
| 1 | 2.8 |
| 2 | 3.4 |